Record 1
Compound: Ac12Tl2Cd5
Source: Alexandria
Functional: PBE
Structure: relaxed

POSCAR file:
```
Ac12Tl2Cd5
1.0
6.919 -5.785 0.000
6.919 5.785 0.000
-2.463 0.000 8.792
Ac Tl Cd
12 2 5
direct
0.004 0.342 0.823
0.106 0.106 0.167
0.168 0.615 0.600
0.342 0.004 0.823
0.385 0.832 0.400
0.390 0.390 0.255
0.610 0.610 0.745
0.615 0.168 0.600
0.658 0.996 0.177
0.832 0.385 0.400
0.894 0.894 0.833
0.996 0.658 0.177
0.279 0.721 0.000
0.721 0.279 0.000
0.000 0.000 0.500
0.227 0.227 0.533
0.385 0.385 0.863
0.615 0.615 0.137
0.773 0.773 0.467
```

Total moment   0.00 μB/f.u.
Symmetry   C2/m, No. 12
Total DFT energy (no corrections)   -3.242 eV/atom

---

Record 2
Compound: AcTl3Cd2
Source: Alexandria
Functional: PBE
Structure: relaxed

POSCAR file:
```
AcTl3Cd2
1.0
8.108 -3.426 0.000
8.108 3.426 0.000
0.000 0.000 6.747
Ac Tl Cd
2 6 4
direct
0.222 0.778 0.750
0.778 0.222 0.250
0.154 0.217 0.750
0.217 0.154 0.250
0.280 0.720 0.250
0.720 0.280 0.750
0.783 0.846 0.750
0.846 0.783 0.250
0.350 0.350 0.000
0.350 0.350 0.500
0.650 0.650 0.000
0.650 0.650 0.500
```

Total moment   0.00 μB/f.u.
Symmetry   Cmcm, No. 63
E above lowest polymorph   34 kJ/mol of formula units

---

Record 3
Compound: Ac3Tl2Cd3
Source: Alexandria
Functional: PBE
Structure: relaxed

POSCAR file:
```
Ac3Tl2Cd3
1.0
2.531 -6.021 0.000
2.531 6.021 0.000
0.000 0.000 16.818
Ac Tl Cd
6 4 6
direct
0.091 0.909 0.607
0.091 0.909 0.893
0.365 0.635 0.750
0.635 0.365 0.250
0.909 0.091 0.107
0.909 0.091 0.393
0.203 0.797 0.105
0.203 0.797 0.395
0.797 0.203 0.605
0.797 0.203 0.895
0.354 0.646 0.250
0.386 0.614 0.535
0.386 0.614 0.965
0.614 0.386 0.035
0.614 0.386 0.465
0.646 0.354 0.750
```

Total moment   0.00 μB/f.u.
Symmetry   Cmcm, No. 63
E above lowest polymorph   0 kJ/mol of formula units

---

Record 4
Compound: Ac3Tl4Cd7
Source: Alexandria
Functional: PBE
Structure: relaxed

POSCAR file:
```
Ac3Tl4Cd7
1.0
9.056 -2.522 0.000
9.056 2.522 0.000
-6.184 0.000 8.626
Ac Tl Cd
3 4 7
direct
0.000 0.000 0.000
0.294 0.294 0.296
0.706 0.706 0.704
0.150 0.150 0.864
0.344 0.344 0.708
0.656 0.656 0.292
0.850 0.850 0.136
0.000 0.000 0.500
0.139 0.139 0.424
0.355 0.355 0.995
0.498 0.498 0.670
0.502 0.502 0.330
0.645 0.645 0.005
0.861 0.861 0.576
```

Total moment   0.00 μB/f.u.
Symmetry   C2/m, No. 12
Total DFT energy (no corrections)   -2.279 eV/atom

---

Record 5
Compound: AcTl3Cd
Source: Alexandria
Functional: PBE
Structure: relaxed

POSCAR file:
```
AcTl3Cd
1.0
5.020 0.000 0.000
-0.001 7.025 0.000
-2.503 -2.004 8.616
Ac Tl Cd
2 6 2
direct
0.108 0.310 0.216
0.892 0.690 0.784
0.096 0.802 0.190
0.283 0.870 0.568
0.500 0.000 0.000
0.500 0.500 0.000
0.717 0.130 0.432
0.904 0.198 0.810
0.309 0.363 0.619
0.691 0.637 0.381
```

Total moment   0.00 μB/f.u.
Symmetry   P-1, No. 2
E above lowest polymorph   0 kJ/mol of formula units

---

Record 6
Compound: Ac3Tl3Cd2
Source: Alexandria
Functional: PBE
Structure: relaxed

POSCAR file:
```
Ac3Tl3Cd2
1.0
20.323 0.000 0.000
0.000 4.792 0.000
-1.419 0.000 5.277
Ac Tl Cd
6 6 4
direct
0.000 0.000 0.000
0.140 0.000 0.634
0.360 0.500 0.366
0.500 0.500 0.000
0.640 0.500 0.634
0.860 0.000 0.366
0.000 0.500 0.500
0.135 0.500 0.130
0.365 0.000 0.870
0.500 0.000 0.500
0.635 0.000 0.130
0.865 0.500 0.870
0.240 0.000 0.231
0.260 0.500 0.769
0.740 0.500 0.231
0.760 0.000 0.769
```

Total moment   0.00 μB/f.u.
Symmetry   C2/m, No. 12
E above lowest polymorph   47 kJ/mol of formula units

---

Record 7
Compound: Ac3Tl2Cd2
Source: Alexandria
Functional: PBE
Structure: relaxed

POSCAR file:
```
Ac3Tl2Cd2
1.0
12.191 0.000 0.000
0.000 5.116 0.000
-1.971 0.000 7.552
Ac Tl Cd
6 4 4
direct
0.000 0.000 0.000
0.164 0.000 0.610
0.336 0.500 0.390
0.500 0.500 0.000
0.664 0.500 0.610
0.836 0.000 0.390
0.040 0.500 0.316
0.460 0.000 0.684
0.540 0.000 0.316
0.960 0.500 0.684
0.196 0.500 0.935
0.304 0.000 0.065
0.696 0.000 0.935
0.804 0.500 0.065
```

Total moment   0.00 μB/f.u.
Symmetry   C2/m, No. 12
Total DFT energy (no corrections)   -3.022 eV/atom

---

Record 8
Compound: Ac4Tl3Cd2
Source: Alexandria
Functional: PBE
Structure: relaxed

POSCAR file:
```
Ac4Tl3Cd2
1.0
4.851 -2.794 0.000
4.851 2.794 0.000
-0.038 0.000 11.344
Ac Tl Cd
4 3 2
direct
0.000 0.000 0.166
0.000 0.000 0.834
0.333 0.333 0.613
0.667 0.667 0.387
0.000 0.000 0.500
0.333 0.333 0.953
0.667 0.667 0.047
0.333 0.333 0.286
0.667 0.667 0.714
```

Total moment   0.00 μB/f.u.
Symmetry   C2/m, No. 12
Total DFT energy (no corrections)   -3.083 eV/atom

---

Record 9
Compound: Ac3TlCd2
Source: Alexandria
Functional: PBE
Structure: relaxed

POSCAR file:
```
Ac3TlCd2
1.0
5.794 0.000 0.000
0.000 17.443 0.000
0.000 0.000 4.081
Ac Tl Cd
6 2 4
direct
0.000 0.000 0.000
0.000 0.333 0.000
0.000 0.667 0.000
0.500 0.167 0.000
0.500 0.500 0.000
0.500 0.833 0.000
0.000 0.500 0.500
0.500 0.000 0.500
0.000 0.169 0.500
0.000 0.831 0.500
0.500 0.331 0.500
0.500 0.669 0.500
```

Total moment   0.01 μB/f.u.
Symmetry   Cmmm, No. 65
Total DFT energy (no corrections)   -3.063 eV/atom

---

Record 10
Compound: AcTl3Cd2
Source: Alexandria
Functional: PBE
Structure: relaxed

POSCAR file:
```
AcTl3Cd2
1.0
3.460 1.998 8.463
-3.460 1.998 8.463
0.000 -3.995 8.463
Ac Tl Cd
2 6 4
direct
0.214 0.214 0.214
0.786 0.786 0.786
0.240 0.729 0.729
0.271 0.271 0.760
0.271 0.760 0.271
0.729 0.240 0.729
0.729 0.729 0.240
0.760 0.271 0.271
0.000 0.000 0.000
0.000 0.500 0.500
0.500 0.000 0.500
0.500 0.500 0.000
```

Total moment   0.00 μB/f.u.
Symmetry   R-3m, No. 166
E above lowest polymorph   0 kJ/mol of formula units

---

Record 11
Compound: Ac3TlCd
Source: Alexandria
Functional: PBE
Structure: relaxed

POSCAR file:
```
Ac3TlCd
1.0
9.442 -5.341 0.000
9.442 5.341 0.000
-0.279 0.000 7.395
Ac Tl Cd
12 4 4
direct
0.071 0.231 0.545
0.185 0.688 0.992
0.231 0.071 0.045
0.284 0.404 0.513
0.312 0.815 0.508
0.404 0.284 0.013
0.596 0.716 0.987
0.688 0.185 0.492
0.716 0.596 0.487
0.769 0.929 0.955
0.815 0.312 0.008
0.929 0.769 0.455
0.000 0.000 0.250
0.000 0.000 0.750
0.499 0.501 0.250
0.501 0.499 0.750
0.025 0.461 0.187
0.461 0.025 0.687
0.539 0.975 0.313
0.975 0.539 0.813
```

Total moment   0.00 μB/f.u.
Symmetry   C2/c, No. 15
E above lowest polymorph   24 kJ/mol of formula units

---

Record 12
Compound: Ac3Tl3Cd2
Source: Alexandria
Functional: PBE
Structure: relaxed

POSCAR file:
```
Ac3Tl3Cd2
1.0
2.545 -6.074 0.000
2.545 6.074 0.000
0.000 0.000 16.731
Ac Tl Cd
6 6 4
direct
0.090 0.910 0.608
0.090 0.910 0.892
0.362 0.638 0.750
0.638 0.362 0.250
0.910 0.090 0.108
0.910 0.090 0.392
0.352 0.648 0.250
0.383 0.617 0.538
0.383 0.617 0.962
0.617 0.383 0.038
0.617 0.383 0.462
0.648 0.352 0.750
0.206 0.794 0.103
0.206 0.794 0.397
0.794 0.206 0.603
0.794 0.206 0.897
```

Total moment   0.01 μB/f.u.
Symmetry   Cmcm, No. 63
E above lowest polymorph   0 kJ/mol of formula units

---

Record 13
Compound: AcTlCd17
Source: Alexandria
Functional: PBE
Structure: relaxed

POSCAR file:
```
AcTlCd17
1.0
5.147 2.971 5.037
-5.147 2.971 5.037
0.000 -5.943 5.037
Ac Tl Cd
1 1 17
direct
0.000 0.000 0.000
0.313 0.313 0.313
0.026 0.026 0.492
0.026 0.492 0.026
0.150 0.677 0.677
0.310 0.310 0.811
0.310 0.811 0.310
0.368 0.661 0.964
0.368 0.964 0.661
0.492 0.026 0.026
0.551 0.551 0.551
0.661 0.368 0.964
0.661 0.964 0.368
0.677 0.150 0.677
0.677 0.677 0.150
0.757 0.757 0.757
0.811 0.310 0.310
0.964 0.368 0.661
0.964 0.661 0.368
```

Total moment   0.00 μB/f.u.
Symmetry   R3m, No. 160
Total DFT energy (no corrections)   -1.243 eV/atom

---

Record 14
Compound: Ac2TlCd3
Source: Alexandria
Functional: PBE
Structure: relaxed

POSCAR file:
```
Ac2TlCd3
1.0
0.000 5.162 8.943
3.986 0.000 8.943
3.986 5.162 0.000
Ac Tl Cd
4 2 6
direct
0.248 0.752 0.752
0.250 0.250 0.250
0.750 0.750 0.750
0.752 0.248 0.248
0.334 0.334 0.666
0.666 0.666 0.334
0.165 0.165 0.835
0.166 0.670 0.330
0.330 0.834 0.166
0.670 0.166 0.834
0.834 0.330 0.670
0.835 0.835 0.165
```

Total moment   0.00 μB/f.u.
Symmetry   Fmmm, No. 69
Total DFT energy (no corrections)   -2.556 eV/atom

---

Record 15
Compound: Ac4Tl2Cd
Source: Alexandria
Functional: PBE
Structure: relaxed

POSCAR file:
```
Ac4Tl2Cd
1.0
2.881 1.663 9.234
-2.881 1.663 9.234
0.000 -3.327 9.234
Ac Tl Cd
4 2 1
direct
0.121 0.121 0.121
0.372 0.372 0.372
0.628 0.628 0.628
0.879 0.879 0.879
0.248 0.248 0.248
0.752 0.752 0.752
0.500 0.500 0.500
```

Total moment   0.00 μB/f.u.
Symmetry   R-3m, No. 166
Total DFT energy (no corrections)   -3.386 eV/atom

---

Record 16
Compound: Ac3Tl4Cd4
Source: Alexandria
Functional: PBE
Structure: relaxed

POSCAR file:
```
Ac3Tl4Cd4
1.0
-2.516 3.943 8.307
2.516 -3.943 8.307
2.516 3.943 -8.307
Ac Tl Cd
3 4 4
direct
0.000 0.000 0.000
0.374 0.874 0.500
0.626 0.126 0.500
0.220 0.220 0.000
0.307 0.500 0.807
0.693 0.500 0.193
0.780 0.780 0.000
0.022 0.334 0.689
0.355 0.666 0.689
0.645 0.334 0.311
0.978 0.666 0.311
```

Total moment   0.00 μB/f.u.
Symmetry   Immm, No. 71
E above lowest polymorph   0 kJ/mol of formula units

---

Record 17
Compound: Ac4Tl2Cd5
Source: Alexandria
Functional: PBE
Structure: relaxed

POSCAR file:
```
Ac4Tl2Cd5
1.0
8.282 0.000 0.000
0.000 4.055 0.000
-0.967 0.000 10.680
Ac Tl Cd
4 2 5
direct
0.179 0.000 0.386
0.273 0.000 0.937
0.727 0.000 0.063
0.821 0.000 0.614
0.066 0.500 0.140
0.934 0.500 0.860
0.197 0.500 0.658
0.450 0.500 0.210
0.500 0.500 0.500
0.550 0.500 0.790
0.803 0.500 0.342
```

Total moment   0.00 μB/f.u.
Symmetry   P2/m, No. 10
Total DFT energy (no corrections)   -2.571 eV/atom

---

Record 18
Compound: Ac4Tl4Cd3
Source: Alexandria
Functional: PBE
Structure: relaxed

POSCAR file:
```
Ac4Tl4Cd3
1.0
17.373 -2.545 0.000
17.373 2.545 0.000
-0.036 0.000 4.012
Ac Tl Cd
4 4 3
direct
0.055 0.055 0.005
0.319 0.319 0.985
0.681 0.681 0.015
0.945 0.945 0.995
0.228 0.228 0.605
0.406 0.406 0.490
0.594 0.594 0.510
0.772 0.772 0.395
0.140 0.140 0.503
0.500 0.500 0.500
0.860 0.860 0.497
```

Total moment   0.00 μB/f.u.
Symmetry   C2/m, No. 12
Total DFT energy (no corrections)   -2.901 eV/atom

---

Record 19
Compound: AcTl2Cd
Source: Alexandria
Functional: PBE
Structure: relaxed

POSCAR file:
```
AcTl2Cd
1.0
4.994 0.000 0.000
0.000 4.994 0.000
0.000 0.000 4.929
Ac Tl Cd
1 2 1
direct
0.000 0.000 0.000
0.000 0.500 0.500
0.500 0.000 0.500
0.500 0.500 0.000
```

Total moment   0.00 μB/f.u.
Symmetry   P4/mmm, No. 123
Total DFT energy (no corrections)   -2.700 eV/atom

---

Record 20
Compound: AcTlCd4
Source: Alexandria
Functional: PBE
Structure: relaxed

POSCAR file:
```
AcTlCd4
1.0
3.507 -9.152 0.000
3.507 9.152 0.000
0.000 0.000 5.191
Ac Tl Cd
2 2 8
direct
0.116 0.884 0.750
0.884 0.116 0.250
0.366 0.634 0.250
0.634 0.366 0.750
0.033 0.450 0.750
0.229 0.315 0.750
0.315 0.229 0.250
0.450 0.033 0.250
0.550 0.967 0.750
0.685 0.771 0.750
0.771 0.685 0.250
0.967 0.550 0.250
```

Total moment   0.00 μB/f.u.
Symmetry   Cmcm, No. 63
E above lowest polymorph   0 kJ/mol of formula units